Entry from Alexandria via LeMat-Bulk: an optimized crystal structure of CeThNp4 (PBE).

```
data_CeThNp4
_symmetry_space_group_name_H-M 'F -4 3 m'
_symmetry_Int_Tables_number 216
_symmetry_space_group_name_Hall 'F -4 2 3'
_cell_length_a 8.035
_cell_length_b 8.035
_cell_length_c 8.035
_cell_angle_alpha 90.00
_cell_angle_beta 90.00
_cell_angle_gamma 90.00
loop_
_atom_site_label
_atom_site_type_symbol
_atom_site_fract_x
_atom_site_fract_y
_atom_site_fract_z
_atom_site_occupancy
Ce1 Ce 0.000 0.000 0.000 1
Th1 Th 0.250 0.250 0.750 1
Np1 Np 0.125 0.125 0.375 1
```

ρ, g/cm3: 16.90
Formation enthalpy at 0 K, eV/atom: 0.268
Total DFT energy (no corrections), eV/atom: -10.585
Size of the total moment, μB/atom: 1.402

---

Entry from Alexandria via LeMat-Bulk: an optimized crystal structure of Ce2NpTl (PBE).

```
data_Ce2NpTl
_symmetry_space_group_name_H-M 'P 4/m m m'
_symmetry_Int_Tables_number 123
_symmetry_space_group_name_Hall '-P 4 2'
_cell_length_a 3.663
_cell_length_b 3.663
_cell_length_c 7.962
_cell_angle_alpha 90.00
_cell_angle_beta 90.00
_cell_angle_gamma 90.00
loop_
_atom_site_label
_atom_site_type_symbol
_atom_site_fract_x
_atom_site_fract_y
_atom_site_fract_z
_atom_site_occupancy
Ce1 Ce 0.000 0.000 0.230 1
Np1 Np 0.500 0.500 0.000 1
Tl1 Tl 0.500 0.500 0.500 1
```

ρ, g/cm3: 11.21
Formation enthalpy at 0 K, eV/atom: 0.135
Total DFT energy (no corrections), eV/atom: -6.658
Offset from the most stable computed form, eV/atom: 0.020
Size of the total moment, μB/atom: 1.495

---

Entry from Alexandria via LeMat-Bulk: an optimized crystal structure of Ce2NpTl (PBE).

```
data_Ce2NpTl
_symmetry_space_group_name_H-M 'R -3 m'
_symmetry_Int_Tables_number 166
_symmetry_space_group_name_Hall '-R 3 2"'
_cell_length_a 3.6340
_cell_length_b 3.6340
_cell_length_c 25.6312
_cell_angle_alpha 90.00
_cell_angle_beta 90.00
_cell_angle_gamma 120.00
loop_
_atom_site_label
_atom_site_type_symbol
_atom_site_fract_x
_atom_site_fract_y
_atom_site_fract_z
_atom_site_occupancy
Ce1 Ce 0.0000 0.0000 0.2283 1
Np1 Np 0.0000 0.0000 0.5000 1
Tl1 Tl 0.0000 0.0000 0.0000 1
```

ρ, g/cm3: 12.26
Formation enthalpy at 0 K, eV/atom: 0.115
Total DFT energy (no corrections), eV/atom: -6.679
Offset from the most stable computed form, eV/atom: 0.000
Size of the total moment, μB/atom: 0.000

---

Entry from Alexandria via LeMat-Bulk: an optimized crystal structure of CeNpV (PBE).

```
data_CeNpV
_symmetry_space_group_name_H-M 'C 1 m 1'
_symmetry_Int_Tables_number 8
_cell_length_a 10.045
_cell_length_b 4.433
_cell_length_c 5.935
_cell_angle_alpha 90.00
_cell_angle_beta 116.32
_cell_angle_gamma 90.00
loop_
_symmetry_equiv_pos_as_xyz
'x,y,z'
'x,-y,z'
'x+1/2,y+1/2,z'
'x+1/2,-y+1/2,z'
loop_
_atom_site_label
_atom_site_type_symbol
_atom_site_fract_x
_atom_site_fract_y
_atom_site_fract_z
_atom_site_occupancy
Ce1 Ce 0.000 0.000 0.000 1
Ce2 Ce 0.166 0.500 0.805 1
Np1 Np 0.054 0.000 0.488 1
Np2 Np 0.306 0.000 0.529 1
V1 V 0.224 0.500 0.337 1
V2 V 0.372 0.000 0.195 1
```

ρ, g/cm3: 12.00
Formation enthalpy at 0 K, eV/atom: 0.362
Total DFT energy (no corrections), eV/atom: -8.970
Size of the total moment, μB/atom: 0.093

---

The lowest total DFT energy (no corrections) belongs to which entry? CeThNp4

---

Number 3 is which compound? Ce2NpTl

---

What did the first record say?
Entry from Alexandria via LeMat-Bulk: an optimized crystal structure of CeThNp4 (PBE).

```
data_CeThNp4
_symmetry_space_group_name_H-M 'F -4 3 m'
_symmetry_Int_Tables_number 216
_symmetry_space_group_name_Hall 'F -4 2 3'
_cell_length_a 8.035
_cell_length_b 8.035
_cell_length_c 8.035
_cell_angle_alpha 90.00
_cell_angle_beta 90.00
_cell_angle_gamma 90.00
loop_
_atom_site_label
_atom_site_type_symbol
_atom_site_fract_x
_atom_site_fract_y
_atom_site_fract_z
_atom_site_occupancy
Ce1 Ce 0.000 0.000 0.000 1
Th1 Th 0.250 0.250 0.750 1
Np1 Np 0.125 0.125 0.375 1
```

ρ, g/cm3: 16.90
Formation enthalpy at 0 K, eV/atom: 0.268
Total DFT energy (no corrections), eV/atom: -10.585
Size of the total moment, μB/atom: 1.402